CaSb4O8 | PBE-GGA | optimized geometry

Unit cell a=16.3359 b=3.2434 c=9.5594 alpha=90.00 beta=125.79 gamma=90.00
With the nearest neighbours (Å) after each atom.
Space group Cm (No. 8)
Unique sites:
Ca: 0.0000 0.0000 0.0000 (multiplicity 2)  7 O 2.37-2.63
Sb: 0.1851 0.0000 0.9665 (multiplicity 2)  5 O 2.13-2.30
Sb: 0.2052 0.5000 0.6086 (multiplicity 2)  3 O 1.99-2.11
Sb: 0.4272 0.0000 0.6174 (multiplicity 2)  6 O 1.96-2.14
Sb: 0.4461 0.5000 0.2838 (multiplicity 2)  5 O 2.16-2.22
O: 0.0294 0.0000 0.7575 (multiplicity 2)  3 Sb 2.13-2.14
O: 0.1082 0.0000 0.4686 (multiplicity 2)  3 Sb 2.11-2.16
O: 0.1275 0.5000 0.0347 (multiplicity 2)  2 Sb 2.16
O: 0.1935 0.5000 0.8043 (multiplicity 2)  1 Sb 1.99
O: 0.3397 0.5000 0.4892 (multiplicity 2)  2 Sb 2.03
O: 0.3962 0.0000 0.7870 (multiplicity 2)  1 Sb 1.96
O: 0.4736 0.0000 0.4658 (multiplicity 2)  3 Sb 1.99-2.22
O: 0.4833 0.0000 0.1745 (multiplicity 2)  2 Sb 2.20, 2 Ca 2.45

Calculated values
formation energy (no corrections) = -1.49 eV per atom
energy = -154.92 eV per cell

KMg | PBE-GGA | optimized geometry

Unit cell a=4.0841 b=4.0841 c=36.2072 alpha=90.00 beta=90.00 gamma=120.00
With the nearest neighbours (Å) after each atom.
Space group R-3m (No. 166, hexagonal axes)
Unique sites:
K: 0.0000 0.0000 0.1100 (multiplicity 6)  3 Mg 3.80, 6 K 4.08
Mg: 0.0000 0.0000 0.3611 (multiplicity 6)  3 Mg 3.10

Calculated values
energy = -13.20 eV per cell
ΔH_f (0 K) = 0.25 eV per atom